(1)
Entry from Alexandria via LeMat-Bulk: a relaxed CsCaIN2 crystal (PBE-GGA).

Cell lengths 5.1459, 5.1459, 6.3709 Å; angles 90.00, 90.00, 90.00 degrees
Closest atoms and distances in Å follow each position.
Element x y z (fractional)
Cs  0.0000  0.0000  0.0000  4 I 3.64
Ca  0.5000  0.5000  0.5000  4 N 2.57
I  0.5000  0.5000  0.0000  2 Ca 3.19
N  0.0000  0.5000  0.5000  2 Ca 2.57
N  0.5000  0.0000  0.5000  2 Ca 2.57

The calculation puts the excess energy over the best structure of this formula in the dataset at 0 meV/atom. Its symmetry is P4/mmm (123).

(2)
Entry from Alexandria via LeMat-Bulk: a relaxed Cs3Na3CaI8 crystal (PBE-GGA).

Cell lengths 9.6473, 9.6473, 10.4911 Å; angles 117.42, 117.42, 59.93 degrees
Closest atoms and distances in Å follow each position.
Element x y z (fractional)
Cs  0.0000  0.0000  0.0000  6 I 3.84
Cs  0.0000  0.5000  0.0000  6 I 3.84
Cs  0.5000  0.0000  0.0000  6 I 3.84
Na  0.0000  0.5000  0.5000  6 I 3.31-3.34
Na  0.5000  0.0000  0.5000  6 I 3.31-3.34
Na  0.5000  0.5000  0.5000  6 I 3.32-3.33
Ca  0.0000  0.0000  0.5000  6 I 3.19
I  0.2253  0.2253  0.6962  1 Ca 3.19, 2 Na 3.33
I  0.2257  0.7455  0.6964  1 Ca 3.19, 2 Na 3.33-3.34
I  0.2545  0.7743  0.3036  1 Ca 3.19, 2 Na 3.33-3.34
I  0.2659  0.2659  0.2981  3 Na 3.31-3.32
I  0.7341  0.7341  0.7019  3 Na 3.31-3.32
I  0.7455  0.2257  0.6964  1 Ca 3.19, 2 Na 3.33-3.34
I  0.7743  0.2545  0.3036  1 Ca 3.19, 2 Na 3.33-3.34
I  0.7747  0.7747  0.3038  1 Ca 3.19, 2 Na 3.33

Its symmetry is C2/m (12).

(3)
Entry from Alexandria via LeMat-Bulk: a relaxed CsNaCaI4 crystal (PBE-GGA).

Cell lengths 8.5562, 8.3004, 9.7384 Å; angles 90.00, 101.61, 90.00 degrees
Closest atoms and distances in Å follow each position.
Element x y z (fractional)
Cs  0.1595  0.2500  0.0768  6 I 3.75-4.14
Cs  0.8405  0.7500  0.9232  6 I 3.75-4.14
Na  0.3856  0.2500  0.6693  4 I 3.00-3.18
Na  0.6144  0.7500  0.3307  4 I 3.00-3.18
Ca  0.1518  0.7500  0.4549  6 I 3.11-3.26
Ca  0.8482  0.2500  0.5451  6 I 3.11-3.26
I  0.1127  0.0014  0.7023  1 Na 3.18, 2 Ca 3.21-3.26
I  0.1127  0.4986  0.7023  1 Na 3.18, 2 Ca 3.21-3.26
I  0.2701  0.7500  0.1645  1 Na 3.06, 1 Ca 3.19
I  0.4914  0.2500  0.3936  1 Na 3.00, 1 Ca 3.11
I  0.5086  0.7500  0.6064  1 Na 3.00, 1 Ca 3.11
I  0.7299  0.2500  0.8355  1 Na 3.06, 1 Ca 3.19
I  0.8873  0.5014  0.2977  1 Na 3.18, 2 Ca 3.21-3.26
I  0.8873  0.9986  0.2977  1 Na 3.18, 2 Ca 3.21-3.26

Its symmetry is P2_1/m (11).

(4)
Entry from Alexandria via LeMat-Bulk: a relaxed Cs2NaCaI5 crystal (PBE-GGA).

Cell lengths 11.3142, 11.3142, 16.6232 Å; angles 90.00, 90.00, 155.19 degrees
Closest atoms and distances in Å follow each position.
Element x y z (fractional)
Cs  0.0951  0.9049  0.5000  6 I 3.81-4.12
Cs  0.1354  0.8646  0.1403  8 I 3.86-4.27
Cs  0.8646  0.1354  0.6403  8 I 3.86-4.27
Cs  0.9049  0.0951  0.0000  6 I 3.81-4.12
Na  0.4399  0.5601  0.2853  4 I 3.00-3.16
Na  0.5601  0.4399  0.7853  4 I 3.00-3.16
Ca  0.2163  0.7837  0.8622  6 I 3.12-3.24
Ca  0.7837  0.2163  0.3622  6 I 3.12-3.24
I  0.0745  0.9255  0.8966  2 Na 3.07, 1 Ca 3.19
I  0.2712  0.7288  0.4901  2 Ca 3.24
I  0.3017  0.6983  0.2364  1 Na 3.16, 2 Ca 3.23
I  0.3554  0.6446  0.8303  1 Ca 3.12
I  0.5002  0.4998  0.1233  1 Na 3.00
I  0.4998  0.5002  0.6233  1 Na 3.00
I  0.6446  0.3554  0.3303  1 Ca 3.12
I  0.6983  0.3017  0.7364  1 Na 3.16, 2 Ca 3.23
I  0.7288  0.2712  0.9901  2 Ca 3.24
I  0.9255  0.0745  0.3966  2 Na 3.07, 1 Ca 3.19

Its symmetry is Cmc2_1 (36).

(5)
Entry from Alexandria via LeMat-Bulk: a relaxed Cs2CaNbI6 crystal (PBE-GGA).

Cell lengths 8.5432, 8.5432, 8.5432 Å; angles 60.00, 60.00, 60.00 degrees
Closest atoms and distances in Å follow each position.
Element x y z (fractional)
Cs  0.2500  0.2500  0.2500  12 I 4.27
Cs  0.7500  0.7500  0.7500  12 I 4.27
Ca  0.0000  0.0000  0.0000  6 I 3.11
Nb  0.5000  0.5000  0.5000  6 I 2.93
I  0.2577  0.2577  0.7423  1 Nb 2.93, 1 Ca 3.11
I  0.2577  0.7423  0.2577  1 Nb 2.93, 1 Ca 3.11
I  0.2577  0.7423  0.7423  1 Nb 2.93, 1 Ca 3.11
I  0.7423  0.2577  0.2577  1 Nb 2.93, 1 Ca 3.11
I  0.7423  0.2577  0.7423  1 Nb 2.93, 1 Ca 3.11
I  0.7423  0.7423  0.2577  1 Nb 2.93, 1 Ca 3.11

Its symmetry is Fm-3m (225).

(6)
Entry from Alexandria via LeMat-Bulk: a relaxed Cs2CaNdI6 crystal (PBE-GGA).

Cell lengths 8.8371, 12.5087, 8.8478 Å; angles 90.00, 90.00, 90.00 degrees
Closest atoms and distances in Å follow each position.
Element x y z (fractional)
Cs  0.2500  0.0016  0.2495  12 I 4.41-4.44
Cs  0.2500  0.4984  0.2495  12 I 4.41-4.44
Cs  0.7500  0.5016  0.7505  12 I 4.41-4.44
Cs  0.7500  0.9984  0.7505  12 I 4.41-4.44
Ca  0.2500  0.2500  0.7494  6 I 3.10
Ca  0.7500  0.7500  0.2506  6 I 3.10
Nd  0.2500  0.7500  0.7506  6 I 3.15
Nd  0.7500  0.2500  0.2494  6 I 3.15
I  0.0021  0.2500  0.5010  1 Ca 3.10, 1 Nd 3.15
I  0.0018  0.2500  0.9976  1 Ca 3.10, 1 Nd 3.15
I  0.2500  0.0018  0.7503  1 Ca 3.10, 1 Nd 3.15
I  0.2500  0.4982  0.7503  1 Ca 3.10, 1 Nd 3.15
I  0.4979  0.2500  0.5010  1 Ca 3.10, 1 Nd 3.15
I  0.4982  0.2500  0.9976  1 Ca 3.10, 1 Nd 3.15
I  0.5018  0.7500  0.0024  1 Ca 3.10, 1 Nd 3.15
I  0.5021  0.7500  0.4990  1 Ca 3.10, 1 Nd 3.15
I  0.7500  0.5018  0.2497  1 Ca 3.10, 1 Nd 3.15
I  0.7500  0.9982  0.2497  1 Ca 3.10, 1 Nd 3.15
I  0.9982  0.7500  0.0024  1 Ca 3.10, 1 Nd 3.15
I  0.9979  0.7500  0.4990  1 Ca 3.10, 1 Nd 3.15

Its symmetry is Pmmn (59).

(7)
Entry from Alexandria via LeMat-Bulk: a relaxed CsCa2NpI8 crystal (PBE-GGA).

Cell lengths 7.4872, 7.7400, 9.9273 Å; angles 89.93, 89.90, 89.21 degrees
Closest atoms and distances in Å follow each position.
Element x y z (fractional)
Cs  0.0000  0.0000  0.0000  6 I 3.66-3.70
Ca  0.4999  0.5001  0.2476  6 I 3.13-3.37
Ca  0.5001  0.4999  0.7524  6 I 3.13-3.37
Np  0.0000  0.0000  0.5000  6 I 3.10-3.23
I  0.2572  0.8335  0.7088  1 Np 3.10, 1 Ca 3.17
I  0.2582  0.8346  0.2909  1 Np 3.10, 1 Ca 3.17
I  0.2589  0.3301  0.5002  1 Np 3.23, 2 Ca 3.36-3.37
I  0.2681  0.3916  0.0004  2 Ca 3.13
I  0.7319  0.6084  0.9996  2 Ca 3.13
I  0.7411  0.6699  0.4998  1 Np 3.23, 2 Ca 3.36-3.37
I  0.7418  0.1654  0.7091  1 Np 3.10, 1 Ca 3.17
I  0.7428  0.1665  0.2912  1 Np 3.10, 1 Ca 3.17

Its symmetry is P-1 (2).

(8)
Entry from Alexandria via LeMat-Bulk: a relaxed CsCaNpI6 crystal (PBE-GGA).

Cell lengths 8.1526, 8.1526, 17.0858 Å; angles 90.00, 90.00, 120.00 degrees
Closest atoms and distances in Å follow each position.
Element x y z (fractional)
Cs  0.0000  0.0000  0.0000  6 I 3.92
Cs  0.0000  0.0000  0.5000  6 I 3.92
Ca  0.3333  0.6667  0.2500  6 I 3.15
Ca  0.6667  0.3333  0.7500  6 I 3.15
Np  0.3333  0.6667  0.7500  6 I 3.13
Np  0.6667  0.3333  0.2500  6 I 3.13
I  0.0025  0.3763  0.6439  1 Np 3.13, 1 Ca 3.15
I  0.0025  0.6262  0.8561  1 Np 3.13, 1 Ca 3.15
I  0.3738  0.3763  0.8561  1 Np 3.13, 1 Ca 3.15
I  0.3738  0.9975  0.6439  1 Np 3.13, 1 Ca 3.15
I  0.3763  0.0025  0.1439  1 Np 3.13, 1 Ca 3.15
I  0.3763  0.3738  0.3561  1 Np 3.13, 1 Ca 3.15
I  0.6237  0.6262  0.6439  1 Np 3.13, 1 Ca 3.15
I  0.6237  0.9975  0.8561  1 Np 3.13, 1 Ca 3.15
I  0.6262  0.0025  0.3561  1 Np 3.13, 1 Ca 3.15
I  0.6262  0.6237  0.1439  1 Np 3.13, 1 Ca 3.15
I  0.9975  0.3738  0.1439  1 Np 3.13, 1 Ca 3.15
I  0.9975  0.6237  0.3561  1 Np 3.13, 1 Ca 3.15

Its symmetry is P-31c (163).

Computed D(E_F) (states/eV/atom) in order:
0.461 0.000 0.000 0.000 0.000 0.454 0.283 0.940
Computed size of the total moment (Bohr magnetons per cell) in order:
4.00 0.00 0.00 0.00 3.00 1.95 4.00 8.00
Computed energy relative to the elements, uncorrected (eV/atom) in order:
0.44 -1.43 -1.44 -1.50 -1.11 -1.43 -1.29 -1.28